1.
Here is an optimized crystal structure of TmPuHgIr from the Alexandria database. Energies are from PBE.

Computed properties:
The density is 14.9 g/cm3. The calculation puts the energy of formation from the pure elements at -0.387 eV/atom. Its space-group type is No. 216. The value obtained for the spin magnetization is 5.283 μB per formula unit.

```
4
Lattice="-1.253 4.376 -2.128 -4.737 0.816 -1.464 -2.873 3.278 2.500" Properties=species:S:1:pos:R:3 pbc="T T T"
Pu -6.648 6.352 -0.819
Hg -4.432 4.235 -0.546
Ir 0.000 0.000 0.000
Tm -2.216 2.117 -0.273
```

***

2.
Here is an optimized crystal structure of SrZnCu2 from the Alexandria database. Energies are from PBE.

Computed properties:
The density is 6.1 g/cm3. The calculation puts the energy of formation from the pure elements at 0.059 eV/atom. Its space-group type is No. 123. The value obtained for the spin magnetization is 0.000 μB per formula unit.

```
4
Lattice="3.355 0.000 0.000 0.000 3.354 0.000 0.000 0.000 6.825" Properties=species:S:1:pos:R:3 pbc="T T T"
Sr 1.677 1.677 1.706
Zn 1.677 1.677 5.119
Cu 0.000 0.000 6.342
Cu 0.000 0.000 3.896
```

***

3.
Here is an optimized crystal structure of Ac3TbCd4 from the Alexandria database. Energies are from PBE.

Computed properties:
The density is 8.4 g/cm3. The calculation puts the energy of formation from the pure elements at -0.286 eV/atom. Its space-group type is No. 123. The value obtained for the spin magnetization is 0.027 μB per formula unit.

```
8
Lattice="-2.069 -2.923 1.735 -0.450 -1.777 -3.531 13.656 -8.241 2.405" Properties=species:S:1:pos:R:3 pbc="T T T"
Tb -1.260 -2.350 -0.898
Ac 1.998 -4.315 -0.325
Ac 5.568 -6.470 0.304
Ac 9.139 -8.625 0.933
Cd 1.409 -0.850 0.248
Cd 8.599 -5.189 1.514
Cd 5.058 -3.052 0.891
Cd 12.248 -7.391 2.157
```

***

4.
Here is an optimized crystal structure of CsCu2HgF8 from the Alexandria database. Energies are from PBE.

Computed properties:
The density is 4.6 g/cm3. Its space-group type is No. 148. The value obtained for the spin magnetization is 3.003 μB per formula unit. For the formation energy from raw total energies, the calculation gives -1.565 eV/atom.

```
12
Lattice="-4.172 -1.761 -3.563 1.170 -3.846 -4.128 -2.730 -7.619 2.304" Properties=species:S:1:pos:R:3 pbc="T T T"
F -3.082 -9.870 -2.484
F -0.459 -5.414 -4.556
F -2.650 -3.356 -2.903
F -3.951 -8.763 -5.018
F -3.742 -5.259 -5.539
F -1.990 -7.967 0.153
F -5.273 -7.812 -0.831
F -1.781 -4.463 -0.368
Hg 0.000 0.000 0.000
Cu -1.374 -3.111 -1.512
Cu -4.358 -10.115 -3.874
Cs -2.866 -6.613 -2.693
```

***

5.
Here is an optimized crystal structure of SrCa2Sb from the Alexandria database. Energies are from PBE.

Computed properties:
The density is 2.6 g/cm3. Its space-group type is No. 166. The value obtained for the spin magnetization is 0.584 μB per formula unit. For the formation energy from raw total energies, the calculation gives -0.443 eV/atom.

```
4
Lattice="10.596 0.009 0.005 9.604 4.477 0.005 9.604 2.133 3.936" Properties=species:S:1:pos:R:3 pbc="T T T"
Sb 7.451 1.655 0.987
Ca 28.867 6.410 3.823
Ca 15.839 3.517 2.098
Sr 22.353 4.964 2.960
```

***

6.
Here is an optimized crystal structure of Pm2YTe2O2 from the Alexandria database. Energies are from PBE.

Computed properties:
The density is 6.9 g/cm3. Its space-group type is No. 139. The value obtained for the spin magnetization is 0.000 μB per formula unit. For the formation energy from raw total energies, the calculation gives -2.148 eV/atom.

```
7
Lattice="-1.458 -0.525 4.100 2.026 -3.880 0.223 6.560 5.945 0.751" Properties=species:S:1:pos:R:3 pbc="T T T"
Pm 1.777 -1.387 2.797
Pm 5.353 2.926 2.277
O 1.013 -1.940 0.112
O -0.729 -0.263 2.050
Y 0.000 0.000 0.000
Te 2.504 1.369 1.066
Te 4.625 0.170 4.009
```

***

7.
Here is an optimized crystal structure of GaTc2I2 from the Alexandria database. Energies are from PBE.

Computed properties:
The density is 7.0 g/cm3. Its space-group type is No. 139. The value obtained for the spin magnetization is 0.000 μB per formula unit. For the formation energy from raw total energies, the calculation gives 0.721 eV/atom.

```
5
Lattice="4.349 0.000 0.000 0.000 4.349 0.000 2.174 2.174 6.517" Properties=species:S:1:pos:R:3 pbc="T T T"
I 2.174 2.174 1.814
I 4.349 4.349 4.703
Ga 0.000 0.000 0.000
Tc 4.349 2.174 3.259
Tc 2.174 4.349 3.259
```

***

8.
Here is an optimized crystal structure of TlHg4Se from the Alexandria database. Energies are from PBE.

Computed properties:
The density is 10.6 g/cm3. Its space-group type is No. 216. The value obtained for the spin magnetization is 0.022 μB per formula unit. For the formation energy from raw total energies, the calculation gives 0.112 eV/atom.

```
6
Lattice="-1.104 4.514 4.128 -1.175 5.782 -1.956 -5.720 2.368 0.560" Properties=species:S:1:pos:R:3 pbc="T T T"
Hg -5.850 5.935 1.305
Hg -3.554 7.002 3.080
Hg -3.005 4.757 1.026
Hg -3.589 7.633 0.053
Se -5.999 9.498 2.049
Tl 0.000 0.000 0.000
```

***

9.
Here is an optimized crystal structure of Np2NiAg3Se6 from the Alexandria database. Energies are from PBE.

Computed properties:
The density is 7.9 g/cm3. Its space-group type is No. 12. The value obtained for the spin magnetization is 4.988 μB per formula unit. For the formation energy from raw total energies, the calculation gives -0.502 eV/atom.

```
12
Lattice="-3.092 -5.253 -3.514 5.627 -1.166 4.059 -4.402 -0.006 5.072" Properties=species:S:1:pos:R:3 pbc="T T T"
Se -2.735 -1.742 4.089
Se 0.832 -0.591 2.427
Se -2.699 -5.835 3.190
Se -0.001 -4.570 5.533
Se -1.866 -1.855 0.083
Se 0.868 -4.683 1.527
Ag 1.225 -2.201 4.683
Ag -0.933 -3.213 2.808
Ag -3.091 -4.224 0.934
Ni 0.000 0.000 0.000
Np 2.692 -2.543 1.509
Np -0.156 -3.877 -0.964
```

***

10.
Here is an optimized crystal structure of ReBPS2 from the Alexandria database. Energies are from PBE.

Computed properties:
The density is 4.9 g/cm3. Its space-group type is No. 123. The value obtained for the spin magnetization is 0.000 μB per formula unit. For the formation energy from raw total energies, the calculation gives 1.308 eV/atom.

```
5
Lattice="-0.662 0.546 -4.566 3.800 -2.532 -0.854 -2.582 -3.846 -0.086" Properties=species:S:1:pos:R:3 pbc="T T T"
S -0.331 0.273 -2.283
S 1.900 -1.266 -0.427
Re 0.000 0.000 0.000
B 0.278 -2.916 -2.753
P -1.291 -1.923 -0.043
```

***

11.
Here is an optimized crystal structure of HfAs2RuBr from the Alexandria database. Energies are from PBE.

Computed properties:
The density is 7.5 g/cm3. Its space-group type is No. 123. The value obtained for the spin magnetization is 0.017 μB per formula unit. For the formation energy from raw total energies, the calculation gives 0.584 eV/atom.

```
5
Lattice="-4.361 0.984 1.601 -1.263 -4.531 -0.654 1.462 -1.078 4.645" Properties=species:S:1:pos:R:3 pbc="T T T"
Ru 0.000 0.000 0.000
As -0.631 -2.265 -0.327
As -2.180 0.492 0.800
Hf -2.081 -2.312 2.796
Br 0.731 -0.539 2.322
```

***

12.
Here is an optimized crystal structure of Li2Ni3H8 from the Alexandria database. Energies are from PBE.

Computed properties:
The density is 3.5 g/cm3. Its space-group type is No. 12. The calculation puts the raw total energy at -50.3 eV per cell. The value obtained for the spin magnetization is 0.000 μB per formula unit.

```
13
Lattice="-2.753 -3.351 -1.066 3.014 -3.264 2.475 -2.718 3.433 2.612" Properties=species:S:1:pos:R:3 pbc="T T T"
H -3.511 0.271 1.777
H 1.053 -3.453 2.244
H -1.863 -1.513 3.129
H 0.263 -0.570 4.153
H -3.653 -1.930 1.903
H 1.195 -1.252 2.118
H -0.594 -1.669 0.891
H -2.720 -2.612 -0.132
Li -0.812 -3.144 2.067
Li -1.646 -0.038 1.954
Ni 0.752 -0.814 0.617
Ni -1.377 -1.676 -0.533
Ni 2.262 -2.450 1.858
```

***

Please write out number 3 again, unchanged.
Here is an optimized crystal structure of Ac3TbCd4 from the Alexandria database. Energies are from PBE.

Computed properties:
The density is 8.4 g/cm3. The calculation puts the energy of formation from the pure elements at -0.286 eV/atom. Its space-group type is No. 123. The value obtained for the spin magnetization is 0.027 μB per formula unit.

```
8
Lattice="-2.069 -2.923 1.735 -0.450 -1.777 -3.531 13.656 -8.241 2.405" Properties=species:S:1:pos:R:3 pbc="T T T"
Tb -1.260 -2.350 -0.898
Ac 1.998 -4.315 -0.325
Ac 5.568 -6.470 0.304
Ac 9.139 -8.625 0.933
Cd 1.409 -0.850 0.248
Cd 8.599 -5.189 1.514
Cd 5.058 -3.052 0.891
Cd 12.248 -7.391 2.157
```